# 1
Here is crystalline K2BaNaRe at its relaxed geometry from Alexandria via LeMat-Bulk. Energies are from PBE.

Values from the calculation:
DOS(E_F)	1.72	states/eV per atom
total magnetization	4.069	μB/f.u.
ρ	1.6	g cm⁻³
formation enthalpy at 0 K	1.950	eV per atom
calculated volume	443.48	Å³ per cell

Cell lengths 7.939, 7.939, 7.036 Å; angles 90.00, 90.00, 90.00 degrees
Space group P4/mmm (No. 123)
Inequivalent atoms, fractional coordinates:
K 0.000 0.500 0.000 (multiplicity 2)
Ba 0.000 0.000 0.000 (multiplicity 1)
Na 0.000 0.000 0.500 (multiplicity 1)
Re 0.500 0.500 0.500 (multiplicity 1)


# 2
Here is crystalline Cu2SiAu at its relaxed geometry from Alexandria via LeMat-Bulk. Energies are from PBE.

Values from the calculation:
DOS(E_F)	0.48	states/eV per atom
total magnetization	0.000	μB/f.u.
ρ	9.7	g cm⁻³
electronic total energy	-50.219	eV per cell
calculated volume	180.79	Å³ per cell

Cell lengths 4.0547, 4.0547, 12.6974 Å; angles 90.00, 90.00, 120.00 degrees
Space group R3m (No. 160, hexagonal axes)
Inequivalent atoms, fractional coordinates:
Cu 0.0000 0.0000 0.0000 (multiplicity 3)
Cu 0.0000 0.0000 0.2232 (multiplicity 3)
Si 0.0000 0.0000 0.6327 (multiplicity 3)
Au 0.0000 0.0000 0.4386 (multiplicity 3)


# 3
Here is crystalline BaZnAsO at its relaxed geometry from Alexandria via LeMat-Bulk. Energies are from PBE.

Values from the calculation:
DOS(E_F)	0.65	states/eV per atom
total magnetization	0.000	μB/f.u.
ρ	5.0	g cm⁻³
electronic total energy	-17.679	eV per cell
calculated volume	96.96	Å³ per cell

Cell lengths 4.0685, 4.0685, 6.7634 Å; angles 90.00, 90.00, 120.00 degrees
Space group P3m1 (No. 156)
Inequivalent atoms, fractional coordinates:
Ba 0.0000 0.0000 0.0000 (multiplicity 1)
Zn 0.6667 0.3333 0.4265 (multiplicity 1)
As 0.3333 0.6667 0.5934 (multiplicity 1)
O 0.6667 0.3333 0.1421 (multiplicity 1)


# 4
Here is crystalline PmHoPd4 at its relaxed geometry from Alexandria via LeMat-Bulk. Energies are from PBE.

Values from the calculation:
DOS(E_F)	0.57	states/eV per atom
total magnetization	0.000	μB/f.u.
ρ	10.3	g cm⁻³
offset from the most stable computed form	59.3	meV/atom
formation enthalpy at 0 K	-0.736	eV per atom
calculated volume	236.99	Å³ per cell

Cell lengths 9.752, 3.668, 7.098 Å; angles 90.00, 111.00, 90.00 degrees
Space group C2/m (No. 12)
Inequivalent atoms, fractional coordinates:
Pm 0.000 0.000 0.000 (multiplicity 2)
Ho 0.000 0.000 0.500 (multiplicity 2)
Pd 0.167 0.500 0.343 (multiplicity 4)
Pd 0.168 0.500 0.823 (multiplicity 4)


# 5
Here is crystalline LaTaCo2Au at its relaxed geometry from Alexandria via LeMat-Bulk. Energies are from PBE.

Values from the calculation:
DOS(E_F)	1.53	states/eV per atom
total magnetization	4.485	μB/f.u.
ρ	9.1	g cm⁻³
formation enthalpy at 0 K	0.984	eV per atom
calculated volume	115.26	Å³ per cell

Cell lengths 4.813, 4.813, 4.977 Å; angles 90.00, 90.00, 90.00 degrees
Space group P4/mmm (No. 123)
Inequivalent atoms, fractional coordinates:
La 0.000 0.000 0.000 (multiplicity 1)
Ta 0.500 0.500 0.000 (multiplicity 1)
Co 0.000 0.500 0.500 (multiplicity 2)
Au 0.500 0.500 0.500 (multiplicity 1)


# 6
Here is crystalline LaZrSb at its relaxed geometry from Alexandria via LeMat-Bulk. Energies are from PBE.

Values from the calculation:
DOS(E_F)	0.98	states/eV per atom
total magnetization	0.850	μB/f.u.
ρ	6.3	g cm⁻³
electronic total energy	-74.164	eV per cell
calculated volume	371.32	Å³ per cell

Cell lengths 7.188, 7.188, 7.188 Å; angles 90.00, 90.00, 90.00 degrees
Space group F-43m (No. 216)
Inequivalent atoms, fractional coordinates:
La 0.000 0.000 0.000 (multiplicity 4)
Zr 0.000 0.000 0.500 (multiplicity 4)
Sb 0.250 0.250 0.750 (multiplicity 4)


# 7
Here is crystalline Y5TmS6 at its relaxed geometry from Alexandria via LeMat-Bulk. Energies are from PBE.

Values from the calculation:
DOS(E_F)	0.37	states/eV per atom
total magnetization	0.000	μB/f.u.
ρ	5.3	g cm⁻³
electronic total energy	-170.828	eV per cell
calculated volume	505.44	Å³ per cell

Cell lengths 6.764, 11.743, 6.756 Å; angles 90.00, 109.64, 90.00 degrees
Space group C2/m (No. 12)
Inequivalent atoms, fractional coordinates:
Y 0.000 0.000 0.000 (multiplicity 2)
Y 0.000 0.167 0.500 (multiplicity 4)
Y 0.000 0.331 0.000 (multiplicity 4)
Tm 0.000 0.500 0.500 (multiplicity 2)
S 0.246 0.500 0.252 (multiplicity 4)
S 0.247 0.336 0.747 (multiplicity 8)


# 8
Here is crystalline BaPr2Zn6 at its relaxed geometry from Alexandria via LeMat-Bulk. Energies are from PBE.

Values from the calculation:
DOS(E_F)	0.86	states/eV per atom
total magnetization	0.003	μB/f.u.
ρ	6.3	g cm⁻³
formation enthalpy at 0 K	-0.251	eV per atom
calculated volume	215.11	Å³ per cell

Cell lengths 8.1240, 8.1240, 3.7630 Å; angles 90.00, 90.00, 120.00 degrees
Space group P6/mmm (No. 191)
Inequivalent atoms, fractional coordinates:
Ba 0.0000 0.0000 0.0000 (multiplicity 1)
Pr 0.3333 0.6667 0.0000 (multiplicity 2)
Zn 0.0000 0.3415 0.5000 (multiplicity 6)


# 9
Here is crystalline Ce3PdS6 at its relaxed geometry from Alexandria via LeMat-Bulk. Energies are from PBE.

Values from the calculation:
DOS(E_F)	0.22	states/eV per atom
total magnetization	0.416	μB/f.u.
ρ	5.1	g cm⁻³
electronic total energy	-255.345	eV per cell
calculated volume	927.87	Å³ per cell

Cell lengths 10.820, 13.342, 6.427 Å; angles 90.00, 90.00, 90.00 degrees
Space group Cmc2_1 (No. 36)
Inequivalent atoms, fractional coordinates:
Ce 0.000 0.112 0.000 (multiplicity 4)
Ce 0.177 0.395 0.085 (multiplicity 8)
Pd 0.000 0.307 0.659 (multiplicity 4)
S 0.000 0.277 0.277 (multiplicity 4)
S 0.000 0.473 0.796 (multiplicity 4)
S 0.161 0.026 0.292 (multiplicity 8)
S 0.177 0.230 0.823 (multiplicity 8)


# 10
Here is crystalline LiLaNdCu at its relaxed geometry from Alexandria via LeMat-Bulk. Energies are from PBE.

Values from the calculation:
DOS(E_F)	1.27	states/eV per atom
total magnetization	0.410	μB/f.u.
ρ	5.8	g cm⁻³
formation enthalpy at 0 K	0.026	eV per atom
calculated volume	407.99	Å³ per cell

Cell lengths 7.417, 7.417, 7.417 Å; angles 90.00, 90.00, 90.00 degrees
Space group F-43m (No. 216)
Inequivalent atoms, fractional coordinates:
Li 0.000 0.000 0.000 (multiplicity 4)
La 0.250 0.250 0.250 (multiplicity 4)
Nd 0.250 0.250 0.750 (multiplicity 4)
Cu 0.000 0.000 0.500 (multiplicity 4)


# 11
Here is crystalline SrDyBN2 at its relaxed geometry from Alexandria via LeMat-Bulk. Energies are from PBE.

Values from the calculation:
DOS(E_F)	0.41	states/eV per atom
total magnetization	0.000	μB/f.u.
ρ	5.1	g cm⁻³
electronic total energy	-67.457	eV per cell
calculated volume	187.55	Å³ per cell

Cell lengths 5.107, 5.377, 6.830 Å; angles 90.00, 90.00, 90.00 degrees
Space group Pccm (No. 49)
Inequivalent atoms, fractional coordinates:
Sr 0.000 0.000 0.250 (multiplicity 2)
Dy 0.500 0.500 0.250 (multiplicity 2)
B 0.000 0.500 0.000 (multiplicity 2)
N 0.217 0.352 0.000 (multiplicity 4)


# 12
Here is crystalline LiB3I at its relaxed geometry from Alexandria via LeMat-Bulk. Energies are from PBE.

Values from the calculation:
DOS(E_F)	0.40	states/eV per atom
total magnetization	0.000	μB/f.u.
ρ	3.6	g cm⁻³
offset from the most stable computed form	0.0	meV/atom
calculated volume	75.65	Å³ per cell

Cell lengths 4.229, 4.229, 4.229 Å; angles 90.00, 90.00, 90.00 degrees
Space group Pm-3m (No. 221)
Inequivalent atoms, fractional coordinates:
Li 0.000 0.000 0.000 (multiplicity 1)
B 0.000 0.000 0.500 (multiplicity 3)
I 0.500 0.500 0.500 (multiplicity 1)